! Tc2PPb | Alexandria | PBE-GGA | optimized geometry; values from VASP
! energy relative to the lowest polymorph listed for this composition	2.84	eV per formula unit
! magnetic moment	0.00	μB per cell
! DFT formation energy	716	meV/atom
&SYSTEM
  ibrav = 0, nat = 4, ntyp = 3
/
ATOMIC_SPECIES
Tc 98.00 Tc.upf
P 30.97 P.upf
Pb 207.20 Pb.upf
ATOMIC_POSITIONS crystal
Tc 0.000 0.000 0.000
Tc 0.250 0.250 0.250
P 0.500 0.500 0.500
Pb 0.750 0.750 0.750
CELL_PARAMETERS angstrom
2.500 0.730 3.755
2.293 3.922 0.491
-1.367 3.074 3.093

=====

! Tc2PPb | Alexandria | PBE-GGA | optimized geometry; values from VASP
! energy relative to the lowest polymorph listed for this composition	1.90	eV per formula unit
! magnetic moment	0.00	μB per cell
! DFT formation energy	480	meV/atom
&SYSTEM
  ibrav = 0, nat = 4, ntyp = 3
/
ATOMIC_SPECIES
Pb 207.20 Pb.upf
P 30.97 P.upf
Tc 98.00 Tc.upf
ATOMIC_POSITIONS crystal
Pb 0.500 0.500 0.500
P 0.000 0.000 0.000
Tc 0.250 0.250 0.250
Tc 0.750 0.750 0.750
CELL_PARAMETERS angstrom
0.000 3.174 3.174
3.174 0.000 3.174
3.174 3.174 0.000

=====

! TcPPb2 | Alexandria | PBE-GGA | optimized geometry; values from VASP
! magnetic moment	0.00	μB per cell
! DFT formation energy	146	meV/atom
&SYSTEM
  ibrav = 0, nat = 4, ntyp = 3
/
ATOMIC_SPECIES
Tc 98.00 Tc.upf
P 30.97 P.upf
Pb 207.20 Pb.upf
ATOMIC_POSITIONS crystal
Tc 0.500 0.500 0.000
P 0.000 0.000 0.500
Pb 0.159 0.159 0.841
Pb 0.841 0.841 0.159
CELL_PARAMETERS angstrom
3.799 -6.307 -4.389
5.344 -6.500 -1.633
-1.997 -2.873 0.919

=====

! TcPPb2 | Alexandria | PBE-GGA | optimized geometry; values from VASP
! magnetic moment	0.00	μB per cell
! DFT formation energy	-29	meV/atom
&SYSTEM
  ibrav = 0, nat = 4, ntyp = 3
/
ATOMIC_SPECIES
Tc 98.00 Tc.upf
P 30.97 P.upf
Pb 207.20 Pb.upf
ATOMIC_POSITIONS crystal
Tc 0.000 0.000 0.571
P 0.500 0.500 0.682
Pb 0.000 0.000 0.938
Pb 0.500 0.500 0.310
CELL_PARAMETERS angstrom
-1.711 2.533 0.953
-2.700 -1.671 -0.409
0.461 -2.707 8.023

=====

! Tc4PPb | Alexandria | PBE-GGA | optimized geometry; values from VASP
! magnetic moment	0.00	μB per cell
! DFT formation energy	687	meV/atom
&SYSTEM
  ibrav = 0, nat = 6, ntyp = 3
/
ATOMIC_SPECIES
Tc 98.00 Tc.upf
P 30.97 P.upf
Pb 207.20 Pb.upf
ATOMIC_POSITIONS crystal
Tc 0.871 0.376 0.376
Tc 0.376 0.376 0.871
Tc 0.376 0.871 0.376
Tc 0.376 0.376 0.376
P 0.750 0.750 0.750
Pb 0.000 0.000 0.000
CELL_PARAMETERS angstrom
4.929 -1.169 1.323
0.969 -2.643 4.415
1.666 -4.959 -0.229

=====

! Tc2PPb | Alexandria | PBE-GGA | optimized geometry; values from VASP
! energy relative to the lowest polymorph listed for this composition	1.93	eV per formula unit
! magnetic moment	0.00	μB per cell
! DFT formation energy	489	meV/atom
&SYSTEM
  ibrav = 0, nat = 4, ntyp = 3
/
ATOMIC_SPECIES
Tc 98.00 Tc.upf
P 30.97 P.upf
Pb 207.20 Pb.upf
ATOMIC_POSITIONS crystal
Tc 0.500 0.000 0.000
Tc 0.000 0.500 0.000
P 0.500 0.500 0.500
Pb 0.000 0.000 0.500
CELL_PARAMETERS angstrom
4.478 0.000 0.000
0.000 4.478 0.000
0.000 0.000 3.203

=====

! Tc2PPb | Alexandria | PBE-GGA | optimized geometry; values from VASP
! energy relative to the lowest polymorph listed for this composition	0.00	eV per formula unit
! magnetic moment	0.00	μB per cell
! DFT formation energy	6	meV/atom
&SYSTEM
  ibrav = 0, nat = 4, ntyp = 3
/
ATOMIC_SPECIES
Tc 98.00 Tc.upf
P 30.97 P.upf
Pb 207.20 Pb.upf
ATOMIC_POSITIONS crystal
Tc 0.984 0.984 0.000
Tc 0.165 0.665 0.500
P 0.548 0.548 0.000
Pb 0.803 0.303 0.500
CELL_PARAMETERS angstrom
3.952 -1.422 6.032
3.634 3.009 5.637
-5.644 -0.983 -4.606

=====

! TcPPb2 | Alexandria | PBE-GGA | optimized geometry; values from VASP
! magnetic moment	0.37	μB per cell
! DFT formation energy	717	meV/atom
&SYSTEM
  ibrav = 0, nat = 4, ntyp = 3
/
ATOMIC_SPECIES
Tc 98.00 Tc.upf
P 30.97 P.upf
Pb 207.20 Pb.upf
ATOMIC_POSITIONS crystal
Tc 0.500 0.500 0.500
P 0.000 0.000 0.000
Pb 0.750 0.750 0.750
Pb 0.250 0.250 0.250
CELL_PARAMETERS angstrom
7.834 -1.795 0.000
7.834 1.795 0.000
7.423 0.000 3.081

=====

no.,DOS at the Fermi energy (states/eV/atom)
1,0.7296
2,0.7977
3,0.6175
4,0.3734
5,1.0678
6,0.9310
7,0.5863
8,1.0764